(1)
This record from OQMD via LeMat-Bulk describes SrPdSO after structural relaxation. The functional is PBE.

SG = P4/nmm, No. 129

Cell lengths 3.7523, 3.7523, 11.3783 Å; angles 90.00, 90.00, 90.00 degrees
With the nearest neighbours (Å) after each atom.
Fractional positions:
O 0.7500 0.2500 0.5000  4 Sr 2.32
O 0.2500 0.7500 0.5000  4 Sr 2.32
Pd 0.7500 0.7500 0.1013  5 S 2.44-2.66
Pd 0.2500 0.2500 0.8987  5 S 2.44-2.66
S 0.2500 0.2500 0.1129  5 Pd 2.44-2.66
S 0.7500 0.7500 0.8871  5 Pd 2.44-2.66
Sr 0.2500 0.2500 0.3797  4 O 2.32
Sr 0.7500 0.7500 0.6203  4 O 2.32

***

(2)
This record from OQMD via LeMat-Bulk describes SrPdSO after structural relaxation. The functional is PBE.

SG = Pnma, No. 62

Cell lengths 5.9911, 4.5150, 11.0605 Å; angles 90.00, 90.00, 90.00 degrees
With the nearest neighbours (Å) after each atom.
Fractional positions:
O 0.4671 0.7500 0.1247  2 Pd 2.02-2.13
O 0.9671 0.7500 0.3753  2 Pd 2.02-2.13
O 0.0329 0.2500 0.6247  2 Pd 2.02-2.13
O 0.5329 0.2500 0.8753  2 Pd 2.02-2.13
Pd 0.7541 0.7500 0.2212  2 O 2.02-2.13
Pd 0.2541 0.7500 0.2788  2 O 2.02-2.13
Pd 0.7459 0.2500 0.7212  2 O 2.02-2.13
Pd 0.2459 0.2500 0.7788  2 O 2.02-2.13
S 0.8183 0.2500 0.1491  2 Pd 2.43
S 0.3183 0.2500 0.3509  2 Pd 2.43
S 0.6817 0.7500 0.6491  2 Pd 2.43
S 0.1817 0.7500 0.8509  2 Pd 2.43
Sr 0.3100 0.2500 0.0740  3 O 2.51-2.57
Sr 0.8100 0.2500 0.4260  3 O 2.51-2.57
Sr 0.1900 0.7500 0.5740  3 O 2.51-2.57
Sr 0.6900 0.7500 0.9260  3 O 2.51-2.57

***

(3)
This record from OQMD via LeMat-Bulk describes SrPdSO after structural relaxation. The functional is PBE.

SG = Pbca, No. 61

Cell lengths 7.8308, 9.3595, 8.3776 Å; angles 90.00, 90.00, 90.00 degrees
With the nearest neighbours (Å) after each atom.
Fractional positions:
O 0.7498 0.2880 0.1495  2 Pd 2.13
O 0.7502 0.7880 0.1495  2 Pd 2.13
O 0.2498 0.2880 0.3505  2 Pd 2.13
O 0.2502 0.7880 0.3505  2 Pd 2.13
O 0.7498 0.2120 0.6495  2 Pd 2.13
O 0.7502 0.7120 0.6495  2 Pd 2.13
O 0.2498 0.2120 0.8505  2 Pd 2.13
O 0.2502 0.7120 0.8505  2 Pd 2.13
Pd 0.0000 0.2836 0.2499  2 O 2.13, 2 S 2.33-2.35
Pd 0.4999 0.7836 0.2499  2 O 2.13, 2 S 2.33-2.35
Pd 0.5001 0.2836 0.2501  2 O 2.13, 2 S 2.33-2.35
Pd 0.0000 0.7836 0.2501  2 O 2.13, 2 S 2.33-2.35
Pd 0.0000 0.2164 0.7499  2 O 2.13, 2 S 2.33-2.35
Pd 0.4999 0.7164 0.7499  2 O 2.13, 2 S 2.33-2.35
Pd 0.5001 0.2164 0.7501  2 O 2.13, 2 S 2.33-2.35
Pd 0.0000 0.7164 0.7501  2 O 2.13, 2 S 2.33-2.35
S 0.0000 0.0345 0.2491  2 Pd 2.33-2.35
S 0.5000 0.5345 0.2491  2 Pd 2.33-2.35
S 0.5000 0.0345 0.2509  2 Pd 2.33-2.35
S 0.0000 0.5345 0.2509  2 Pd 2.33-2.35
S 0.0000 0.4655 0.7491  2 Pd 2.33-2.35
S 0.5000 0.9655 0.7491  2 Pd 2.33-2.35
S 0.5000 0.4655 0.7509  2 Pd 2.33-2.35
S 0.0000 0.9655 0.7509  2 Pd 2.33-2.35
Sr 0.7495 0.0437 0.0061  2 O 2.58-2.68, 2 S 2.83
Sr 0.7505 0.5437 0.0061  2 O 2.58-2.68, 2 S 2.83
Sr 0.2495 0.0437 0.4939  2 O 2.58-2.68, 2 S 2.83
Sr 0.2505 0.5437 0.4939  2 O 2.58-2.68, 2 S 2.83
Sr 0.7495 0.4563 0.5061  2 O 2.58-2.68, 2 S 2.83
Sr 0.7505 0.9563 0.5061  2 O 2.58-2.68, 2 S 2.83
Sr 0.2495 0.4563 0.9939  2 O 2.58-2.68, 2 S 2.83
Sr 0.2505 0.9563 0.9939  2 O 2.58-2.68, 2 S 2.83

***

(4)
This record from OQMD via LeMat-Bulk describes SrPdSO after structural relaxation. The functional is PBE.

SG = Pbca, No. 61

Cell lengths 6.8965, 12.4622, 6.9113 Å; angles 90.00, 90.00, 90.00 degrees
With the nearest neighbours (Å) after each atom.
Fractional positions:
O 0.2616 0.2243 0.0006  1 Pd 2.24, 4 Sr 2.46
O 0.2384 0.7243 0.0006  1 Pd 2.24, 4 Sr 2.46
O 0.7616 0.2243 0.4994  1 Pd 2.24, 4 Sr 2.46
O 0.7384 0.7243 0.4994  1 Pd 2.24, 4 Sr 2.46
O 0.2616 0.2757 0.5006  1 Pd 2.24, 4 Sr 2.46
O 0.2384 0.7757 0.5006  1 Pd 2.24, 4 Sr 2.46
O 0.7616 0.2757 0.9994  1 Pd 2.24, 4 Sr 2.46
O 0.7384 0.7757 0.9994  1 Pd 2.24, 4 Sr 2.46
Pd 0.7526 0.4555 0.0010  1 O 2.24, 4 S 2.50-2.51
Pd 0.7473 0.9555 0.0010  1 O 2.24, 4 S 2.50-2.51
Pd 0.2527 0.4555 0.4990  1 O 2.24, 4 S 2.50-2.51
Pd 0.2473 0.9555 0.4990  1 O 2.24, 4 S 2.50-2.51
Pd 0.7526 0.0445 0.5010  1 O 2.24, 4 S 2.50-2.51
Pd 0.7473 0.5445 0.5010  1 O 2.24, 4 S 2.50-2.51
Pd 0.2527 0.0445 0.9990  1 O 2.24, 4 S 2.50-2.51
Pd 0.2473 0.5445 0.9990  1 O 2.24, 4 S 2.50-2.51
S 0.0002 0.0012 0.2467  4 Pd 2.50-2.51
S 0.4998 0.5012 0.2467  4 Pd 2.50-2.51
S 0.5002 0.0012 0.2533  4 Pd 2.50-2.51
S 0.9998 0.5012 0.2533  4 Pd 2.50-2.51
S 0.0002 0.4988 0.7467  4 Pd 2.50-2.51
S 0.4998 0.9988 0.7467  4 Pd 2.50-2.51
S 0.5002 0.4988 0.7533  4 Pd 2.50-2.51
S 0.9998 0.9988 0.7533  4 Pd 2.50-2.51
Sr 0.5113 0.2511 0.2499  4 O 2.46
Sr 0.9887 0.7511 0.2499  4 O 2.46
Sr 0.0113 0.2511 0.2501  4 O 2.46
Sr 0.4887 0.7511 0.2501  4 O 2.46
Sr 0.5113 0.2489 0.7499  4 O 2.46
Sr 0.9887 0.7489 0.7499  4 O 2.46
Sr 0.0113 0.2489 0.7501  4 O 2.46
Sr 0.4887 0.7489 0.7501  4 O 2.46

***

| no. | E_tot (eV per cell) | relative energy among the computed polymorphs (kJ per mole of atoms) |
| --- | --- | --- |
| 1 | -40.0 | 33.6 |
| 2 | -85.2 | 1.9 |
| 3 | -167.1 | 11.7 |
| 4 | -169.3 | 5.1 |